# 1
# Cs2MgTlCl5 | Alexandria via LeMat-Bulk | PBE-GGA | optimized geometry
# Total magnetization = 0.000 μB/f.u.
# Formation energy (no corrections) = -1.699 eV/atom
# VASP energy = -3.35 eV/atom
data_Cs2MgTlCl5
_chemical_formula_sum 'Cs4 Mg2 Tl2 Cl10'
_space_group_name_H-M_alt 'I m m m'
_space_group_IT_number 71
_space_group_name_Hall '-I 2 2'
_cell_length_a 5.021
_cell_length_b 7.499
_cell_length_c 16.190
_cell_angle_alpha 90.00
_cell_angle_beta 90.00
_cell_angle_gamma 90.00
loop_
_atom_site_label
_atom_site_fract_x
_atom_site_fract_y
_atom_site_fract_z
_atom_site_occupancy
Cs1 0.000 0.000 0.210 1
Mg1 0.000 0.500 0.500 1
Tl1 0.000 0.500 0.000 1
Cl1 0.000 0.000 0.000 1
Cl2 0.000 0.257 0.389 1

=====

# 2
# Nb6Ga3H | Alexandria via LeMat-Bulk | PBE-GGA | optimized geometry
# Total magnetization = 0.000 μB/f.u.
# VASP energy = -7.39 eV/atom
data_Nb6Ga3H
_chemical_formula_sum 'Nb12 Ga6 H2'
_space_group_name_H-M_alt 'P 1 21/c 1'
_space_group_IT_number 14
_space_group_name_Hall '-P 2ybc'
_cell_length_a 5.113
_cell_length_b 7.206
_cell_length_c 10.081
_cell_angle_alpha 90.00
_cell_angle_beta 119.01
_cell_angle_gamma 90.00
loop_
_atom_site_label
_atom_site_fract_x
_atom_site_fract_y
_atom_site_fract_z
_atom_site_occupancy
Nb1 0.060 0.155 0.444 1
Nb2 0.358 0.703 0.434 1
Nb3 0.403 0.033 0.278 1
Ga1 0.000 0.000 0.000 1
Ga2 0.158 0.119 0.762 1
H1 0.500 0.000 0.500 1

=====

# 3
# K2TaMo | Alexandria via LeMat-Bulk | PBE-GGA | optimized geometry
# Total magnetization = 0.181 μB/f.u.
# Formation energy from the elements = 1426 meV per atom
# VASP energy = -4.79 eV/atom
data_K2TaMo
_chemical_formula_sum 'K6 Ta3 Mo3'
_space_group_name_H-M_alt 'R -3 m'
_space_group_IT_number 166
_space_group_name_Hall '-R 3 2"'
_cell_length_a 2.9195
_cell_length_b 2.9195
_cell_length_c 38.3957
_cell_angle_alpha 90.00
_cell_angle_beta 90.00
_cell_angle_gamma 120.00
loop_
_atom_site_label
_atom_site_fract_x
_atom_site_fract_y
_atom_site_fract_z
_atom_site_occupancy
K1 0.0000 0.0000 0.2477 1
Ta1 0.0000 0.0000 0.0000 1
Mo1 0.0000 0.0000 0.5000 1